{
  "formula": "LiTb6Mg5",
  "functional": "PBE",
  "state": "optimized geometry",
  "cell": [[5.362, 0.000, 0.000], [0.000, 7.567, 0.000], [-2.670, 0.000, 8.040]],
  "species": ["Li", "Tb", "Tb", "Tb", "Tb", "Tb", "Tb", "Mg", "Mg", "Mg", "Mg", "Mg"],
  "frac_coords": [[0.000, 0.000, 0.000], [0.163, 0.251, 0.331], [0.163, 0.749, 0.331], [0.500, 0.250, 0.000], [0.500, 0.750, 0.000], [0.837, 0.251, 0.669], [0.837, 0.749, 0.669], [0.000, 0.500, 0.000], [0.335, 0.000, 0.662], [0.336, 0.500, 0.664], [0.664, 0.500, 0.336], [0.665, 0.000, 0.338]],
  "ef_ev_per_fu": -0.58,
  "dos_at_fermi_per_ev_cell": 14.69
}